DFT (GGA-PBE) results for a geometry-optimized Hf3Cu4Si4 structure.

Summary:
Spin magnetization: 0.00 Bohr magnetons per cell
D(E_F): 3.65 states/eV/f.u.
Calculated density: 9.008 g/cm3
Total energy: -0.245 Ha/atom

Structure (CIF):
```
data_Hf3Cu4Si4
_cell_length_a 23.961
_cell_length_b 3.848
_cell_length_c 3.649
_cell_angle_alpha 90.00
_cell_angle_beta 98.70
_cell_angle_gamma 90.00
_symmetry_space_group_name_H-M 'C 1 2/m 1'
_symmetry_Int_Tables_number 12
_symmetry_space_group_name_Hall '-C 2y'
loop_
_atom_site_label
_atom_site_type_symbol
_atom_site_fract_x
_atom_site_fract_y
_atom_site_fract_z
Hf1 Hf 0.000 0.000 0.000
Hf2 Hf 0.145 0.500 0.145
Cu1 Cu 0.095 0.000 0.596
Cu2 Cu 0.248 0.500 0.748
Si1 Si 0.049 0.500 0.548
Si2 Si 0.189 0.000 0.689
```

=====

DFT (GGA-PBE) results for a geometry-optimized Li4ZnCd3 structure.

Summary:
Distance to the lowest polymorph of the same formula: 0.0 meV per atom
Spin magnetization: 0.00 Bohr magnetons per cell
Energy of formation from the pure elements: -1.84 eV per formula unit
D(E_F): 3.15 states/eV/f.u.
Calculated density: 4.983 g/cm3

Structure (CIF):
```
data_Li4ZnCd3
_cell_length_a 4.6640
_cell_length_b 4.6640
_cell_length_c 22.8415
_cell_angle_alpha 90.00
_cell_angle_beta 90.00
_cell_angle_gamma 120.00
_symmetry_space_group_name_H-M 'R 3 m'
_symmetry_Int_Tables_number 160
_symmetry_space_group_name_Hall 'R 3 -2"'
loop_
_atom_site_label
_atom_site_type_symbol
_atom_site_fract_x
_atom_site_fract_y
_atom_site_fract_z
Li1 Li 0.0000 0.0000 0.0000
Li2 Li 0.0000 0.0000 0.1224
Li3 Li 0.0000 0.0000 0.4927
Li4 Li 0.0000 0.0000 0.6190
Zn1 Zn 0.0000 0.0000 0.3732
Cd1 Cd 0.0000 0.0000 0.2513
Cd2 Cd 0.0000 0.0000 0.7418
Cd3 Cd 0.0000 0.0000 0.8708
```

=====

DFT (GGA-PBE) results for a geometry-optimized Nd3Ga5Rh6 structure.

Summary:
Spin magnetization: 0.00 Bohr magnetons per cell
Energy of formation from the pure elements: -10.99 eV per formula unit
D(E_F): 5.17 states/eV/f.u.
Calculated density: 9.125 g/cm3

Structure (CIF):
```
data_Nd3Ga5Rh6
_cell_length_a 4.296
_cell_length_b 13.068
_cell_length_c 9.068
_cell_angle_alpha 90.00
_cell_angle_beta 90.00
_cell_angle_gamma 90.00
_symmetry_space_group_name_H-M 'P m m n'
_symmetry_Int_Tables_number 59
loop_
_symmetry_equiv_pos_as_xyz
'x,y,z'
'-x,-y,-z'
'-x+1/2,-y+1/2,z'
'x+1/2,y+1/2,-z'
'x+1/2,-y,-z'
'-x+1/2,y,z'
'-x,y+1/2,-z'
'x,-y+1/2,z'
loop_
_atom_site_label
_atom_site_type_symbol
_atom_site_fract_x
_atom_site_fract_y
_atom_site_fract_z
Nd1 Nd 0.250 0.053 0.249
Nd2 Nd 0.250 0.750 0.228
Ga1 Ga 0.250 0.097 0.878
Ga2 Ga 0.250 0.632 0.520
Ga3 Ga 0.250 0.750 0.799
Rh1 Rh 0.250 0.061 0.597
Rh2 Rh 0.250 0.250 0.050
Rh3 Rh 0.250 0.250 0.418
Rh4 Rh 0.250 0.588 0.976
```

=====

DFT (GGA-PBE) results for a geometry-optimized YAl3Cu structure.

Summary:
Spin magnetization: 0.00 Bohr magnetons per cell
Energy of formation from the pure elements: -0.18 eV per formula unit
D(E_F): 1.66 states/eV/f.u.
Calculated density: 3.895 g/cm3

Structure (CIF):
```
data_YAl3Cu
_cell_length_a 4.634
_cell_length_b 4.634
_cell_length_c 4.634
_cell_angle_alpha 90.00
_cell_angle_beta 90.00
_cell_angle_gamma 90.00
_symmetry_space_group_name_H-M 'P m -3 m'
_symmetry_Int_Tables_number 221
_symmetry_space_group_name_Hall '-P 4 2 3'
loop_
_atom_site_label
_atom_site_type_symbol
_atom_site_fract_x
_atom_site_fract_y
_atom_site_fract_z
Y1 Y 0.000 0.000 0.000
Al1 Al 0.000 0.500 0.500
Cu1 Cu 0.500 0.500 0.500
```

=====

DFT (GGA-PBE) results for a geometry-optimized CaPaPb6 structure.

Summary:
Spin magnetization: 0.72 Bohr magnetons per cell
Energy of formation from the pure elements: -1.17 eV per formula unit
D(E_F): 7.26 states/eV/f.u.
Calculated density: 10.826 g/cm3

Structure (CIF):
```
data_CaPaPb6
_cell_length_a 4.835
_cell_length_b 4.835
_cell_length_c 9.935
_cell_angle_alpha 90.00
_cell_angle_beta 90.00
_cell_angle_gamma 90.00
_symmetry_space_group_name_H-M 'P 4/m m m'
_symmetry_Int_Tables_number 123
_symmetry_space_group_name_Hall '-P 4 2'
loop_
_atom_site_label
_atom_site_type_symbol
_atom_site_fract_x
_atom_site_fract_y
_atom_site_fract_z
Ca1 Ca 0.000 0.000 0.000
Pa1 Pa 0.000 0.000 0.500
Pb1 Pb 0.000 0.500 0.252
Pb2 Pb 0.500 0.500 0.000
Pb3 Pb 0.500 0.500 0.500
```

=====

DFT (GGA-PBE) results for a geometry-optimized CsTbAgBr6 structure.

Summary:
Spin magnetization: 0.92 Bohr magnetons per cell
D(E_F): 3.24 states/eV/f.u.
Calculated density: 3.865 g/cm3
Total energy: -0.123 Ha/atom

Structure (CIF):
```
data_CsTbAgBr6
_cell_length_a 7.183
_cell_length_b 7.189
_cell_length_c 8.102
_cell_angle_alpha 92.59
_cell_angle_beta 92.61
_cell_angle_gamma 115.04
_symmetry_space_group_name_H-M 'P 1'
_symmetry_Int_Tables_number 1
_symmetry_space_group_name_Hall 'P 1'
loop_
_atom_site_label
_atom_site_type_symbol
_atom_site_fract_x
_atom_site_fract_y
_atom_site_fract_z
Cs1 Cs 0.000 0.000 0.000
Tb1 Tb 0.340 0.660 0.500
Ag1 Ag 0.686 0.315 0.500
Br1 Br 0.026 0.354 0.673
Br2 Br 0.036 0.610 0.263
Br3 Br 0.391 0.964 0.738
Br4 Br 0.419 0.367 0.294
Br5 Br 0.634 0.582 0.706
Br6 Br 0.647 0.974 0.328
```